# 1
The following is a PBE calculation of a relaxed Na5B7C3 crystal, from Alexandria.

* offset from the most stable computed form: 36 meV/atom
* D(E_F): 0.200 states/eV/atom

```
data_Na5B7C3
_symmetry_space_group_name_H-M 'P -1'
_symmetry_Int_Tables_number 2
_symmetry_space_group_name_Hall '-P 1'
_cell_length_a 5.161
_cell_length_b 7.456
_cell_length_c 9.110
_cell_angle_alpha 92.64
_cell_angle_beta 106.44
_cell_angle_gamma 110.24
loop_
_atom_site_label
_atom_site_type_symbol
_atom_site_fract_x
_atom_site_fract_y
_atom_site_fract_z
_atom_site_occupancy
Na1 Na 0.000 0.000 0.000 1
Na2 Na 0.100 0.699 0.499 1
Na3 Na 0.200 0.401 0.000 1
Na4 Na 0.304 0.100 0.500 1
Na5 Na 0.400 0.800 0.000 1
Na6 Na 0.500 0.500 0.500 1
B1 B 0.004 0.456 0.250 1
B2 B 0.097 0.144 0.750 1
B3 B 0.097 0.244 0.250 1
B4 B 0.217 0.951 0.750 1
B5 B 0.229 0.849 0.250 1
B6 B 0.402 0.356 0.750 1
B7 B 0.430 0.251 0.250 1
C1 C 0.287 0.647 0.250 1
C2 C 0.310 0.547 0.750 1
C3 C 0.489 0.050 0.250 1
```


# 2
The following is a PBE calculation of a relaxed BaAc4Cd crystal, from Alexandria.

* D(E_F): 1.550 states/eV/atom

```
data_BaAc4Cd
_symmetry_space_group_name_H-M 'F -4 3 m'
_symmetry_Int_Tables_number 216
_symmetry_space_group_name_Hall 'F -4 2 3'
_cell_length_a 10.419
_cell_length_b 10.419
_cell_length_c 10.419
_cell_angle_alpha 90.00
_cell_angle_beta 90.00
_cell_angle_gamma 90.00
loop_
_atom_site_label
_atom_site_type_symbol
_atom_site_fract_x
_atom_site_fract_y
_atom_site_fract_z
_atom_site_occupancy
Ba1 Ba 0.000 0.000 0.000 1
Ac1 Ac 0.124 0.124 0.624 1
Cd1 Cd 0.250 0.250 0.250 1
```


# 3
The following is a PBE calculation of a relaxed Y8Tm3Sc crystal, from Alexandria.

* D(E_F): 1.552 states/eV/atom

```
data_Y8Tm3Sc
_symmetry_space_group_name_H-M 'C 1 2/m 1'
_symmetry_Int_Tables_number 12
_symmetry_space_group_name_Hall '-C 2y'
_cell_length_a 9.985
_cell_length_b 9.961
_cell_length_c 7.887
_cell_angle_alpha 90.00
_cell_angle_beta 108.46
_cell_angle_gamma 90.00
loop_
_atom_site_label
_atom_site_type_symbol
_atom_site_fract_x
_atom_site_fract_y
_atom_site_fract_z
_atom_site_occupancy
Y1 Y 0.082 0.249 0.329 1
Y2 Y 0.167 0.000 0.673 1
Y3 Y 0.169 0.500 0.671 1
Tm1 Tm 0.000 0.500 0.000 1
Tm2 Tm 0.250 0.250 0.000 1
Sc1 Sc 0.000 0.000 0.000 1
```


# 4
The following is a PBE calculation of a relaxed Tb7Ni2Sn2 crystal, from Alexandria.

* D(E_F): 0.956 states/eV/atom

```
data_Tb7Ni2Sn2
_symmetry_space_group_name_H-M 'C m m m'
_symmetry_Int_Tables_number 65
_symmetry_space_group_name_Hall '-C 2 2'
_cell_length_a 7.989
_cell_length_b 11.100
_cell_length_c 6.962
_cell_angle_alpha 90.00
_cell_angle_beta 90.00
_cell_angle_gamma 90.00
loop_
_atom_site_label
_atom_site_type_symbol
_atom_site_fract_x
_atom_site_fract_y
_atom_site_fract_z
_atom_site_occupancy
Tb1 Tb 0.000 0.000 0.000 1
Tb2 Tb 0.000 0.500 0.232 1
Tb3 Tb 0.250 0.250 0.246 1
Ni1 Ni 0.000 0.290 0.000 1
Sn1 Sn 0.180 0.000 0.500 1
```


Computed ΔE_f (eV per atom) in order:
0.148 0.309 0.035 -0.312
Computed spin magnetization (μB/f.u.) in order:
0.01 0.00 0.00 0.00